Entry 1:
Entry from the Alexandria database: an optimized crystal structure of PmSm6Ho2Tm3 (PBE-GGA).

Unit cell a=6.2037 b=6.2037 c=11.7931 alpha=95.01 beta=95.01 gamma=119.98
Fractional positions:
Ho 0.6666 0.3334 0.0000
Ho 0.3334 0.6666 0.0000
Tm 0.8331 0.1669 0.5000
Tm 0.1669 0.8331 0.5000
Tm 0.5000 0.5000 0.5000
Sm 0.9154 0.5815 0.7476
Sm 0.2492 0.2492 0.7476
Sm 0.4185 0.0846 0.2524
Sm 0.7508 0.7508 0.2524
Sm 0.5815 0.9154 0.7476
Sm 0.0846 0.4185 0.2524
Pm 0.0000 0.0000 0.0000

As for the space-group type: No. 12. The raw total energy is -4.62 eV per atom. The crystal system is monoclinic. The calculation puts the volume at 387 Å³ per cell.


Entry 2:
Entry from the Alexandria database: an optimized crystal structure of BeNi2Rh (PBE-GGA).

Unit cell a=3.3060 b=3.3060 c=8.9437 alpha=79.35 beta=79.35 gamma=90.00
Fractional positions:
Rh 0.0000 0.0000 0.0000
Rh 0.7500 0.2500 0.5000
Ni 0.3750 0.3857 0.7500
Ni 0.1357 0.6250 0.2500
Ni 0.8750 0.8643 0.7500
Ni 0.6143 0.1250 0.2500
Be 0.2500 0.7500 0.5000
Be 0.5000 0.5000 0.0000

As for the space-group type: No. 122. The raw total energy is -5.52 eV per atom. The crystal system is tetragonal. The calculation puts the volume at 94 Å³ per cell.


Entry 3:
Entry from the Alexandria database: an optimized crystal structure of Ho6Ge2Se3S (PBE-GGA).

Unit cell a=4.0682 b=8.1558 c=9.1148 alpha=103.41 beta=102.90 gamma=90.00
Fractional positions:
Ho 0.3363 0.9085 0.6726
Ho 0.0046 0.2417 0.0091
Ho 0.6690 0.5748 0.3379
Ho 0.3310 0.4252 0.6621
Ho 0.6637 0.0915 0.3274
Ho 0.9954 0.7583 0.9909
Se 0.8349 0.1660 0.6698
Se 0.5000 0.5000 0.0000
Se 0.1651 0.8340 0.3302
Ge 0.8340 0.6696 0.6681
Ge 0.1660 0.3304 0.3319
S 0.5000 0.0000 0.0000

As for the space-group type: No. 12. The raw total energy is -5.84 eV per atom. As for the energy relative to the elements, uncorrected: -1.57 eV per atom. The crystal system is monoclinic. The calculation puts the volume at 286 Å³ per cell.


Entry 4:
Entry from the Alexandria database: an optimized crystal structure of Sc2BeB2Rh5 (PBE-GGA).

Unit cell a=2.9958 b=9.2280 c=9.2280 alpha=90.00 beta=90.00 gamma=90.00
Fractional positions:
Sc 0.0000 0.6751 0.1751
Sc 0.0000 0.8249 0.6751
Sc 0.0000 0.3249 0.8249
Sc 0.0000 0.1751 0.3249
B 0.0000 0.6276 0.8724
B 0.0000 0.1276 0.6276
B 0.0000 0.8724 0.3724
B 0.0000 0.3724 0.1276
Rh 0.5000 0.2908 0.5689
Rh 0.5000 0.7908 0.9311
Rh 0.5000 0.9311 0.2092
Rh 0.5000 0.5689 0.7092
Rh 0.5000 0.0689 0.7908
Rh 0.5000 0.2092 0.0689
Rh 0.5000 0.7092 0.4311
Rh 0.5000 0.0000 0.5000
Rh 0.5000 0.5000 0.0000
Rh 0.5000 0.4311 0.2908
Be 0.0000 0.0000 0.0000
Be 0.0000 0.5000 0.5000

As for the space-group type: No. 127. The raw total energy is -7.48 eV per atom. The crystal system is tetragonal. The calculation puts the volume at 255 Å³ per cell.


Entry 5:
Entry from the Alexandria database: an optimized crystal structure of ZnTc2C (PBE-GGA).

Unit cell a=2.9418 b=2.9418 c=7.6922 alpha=78.98 beta=78.98 gamma=60.00
Fractional positions:
C 0.5000 0.5000 0.5000
Zn 0.0000 0.0000 0.0000
Tc 0.8862 0.8862 0.3415
Tc 0.1138 0.1138 0.6585

As for the space-group type: No. 166. For the distance to the lowest polymorph of the same formula, the calculation gives 0.2250 eV per atom. The raw total energy is -7.44 eV per atom. The crystal system is trigonal. The calculation puts the volume at 56 Å³ per cell.


Entry 6:
Entry from the Alexandria database: an optimized crystal structure of Ca3CrAs2Pd9 (PBE-GGA).

Unit cell a=6.5451 b=6.5451 c=8.6694 alpha=90.00 beta=90.00 gamma=120.00
Fractional positions:
As 0.6667 0.3333 0.8264
As 0.3333 0.6667 0.1736
Cr 0.0000 0.0000 0.5000
Pd 0.6122 0.8061 0.3934
Pd 0.0000 0.5000 0.0000
Pd 0.8061 0.1939 0.6066
Pd 0.8061 0.6122 0.6066
Pd 0.1939 0.8061 0.3934
Pd 0.3878 0.1939 0.6066
Pd 0.1939 0.3878 0.3934
Pd 0.5000 0.5000 0.0000
Pd 0.5000 0.0000 0.0000
Ca 0.3333 0.6667 0.6975
Ca 0.0000 0.0000 0.0000
Ca 0.6667 0.3333 0.3025

As for the space-group type: No. 164. The raw total energy is -5.10 eV per atom. The crystal system is trigonal. The calculation puts the volume at 322 Å³ per cell.


Entry 7:
Entry from the Alexandria database: an optimized crystal structure of MoI3N (PBE-GGA).

Unit cell a=5.0572 b=5.0572 c=5.0572 alpha=90.00 beta=90.00 gamma=90.00
Fractional positions:
I 0.0000 0.5000 0.0000
I 0.0000 0.0000 0.5000
I 0.5000 0.0000 0.0000
N 0.0000 0.0000 0.0000
Mo 0.5000 0.5000 0.5000

As for the space-group type: No. 221. For the distance to the lowest polymorph of the same formula, the calculation gives 0.0000 eV per atom. The raw total energy is -3.26 eV per atom. As for the energy relative to the elements, uncorrected: 1.50 eV per atom. The crystal system is cubic. The calculation puts the volume at 129 Å³ per cell.


Entry 8:
Entry from the Alexandria database: an optimized crystal structure of Co4MoPt (PBE-GGA).

Unit cell a=4.7019 b=4.7019 c=4.7019 alpha=60.00 beta=60.00 gamma=60.00
Fractional positions:
Co 0.6251 0.6251 0.1248
Co 0.6251 0.6251 0.6251
Co 0.1248 0.6251 0.6251
Co 0.6251 0.1248 0.6251
Pt 0.0000 0.0000 0.0000
Mo 0.2500 0.2500 0.2500

As for the space-group type: No. 216. The raw total energy is -7.58 eV per atom. The crystal system is cubic. The calculation puts the volume at 74 Å³ per cell.


Entry 9:
Entry from the Alexandria database: an optimized crystal structure of ReH2Pt (PBE-GGA).

Unit cell a=4.1987 b=4.1987 c=5.1991 alpha=66.18 beta=66.18 gamma=90.00
Fractional positions:
Re 0.5000 0.5000 0.0000
Re 0.2500 0.7500 0.5000
H 0.6213 0.1250 0.2500
H 0.1287 0.6250 0.2500
H 0.3750 0.3787 0.7500
H 0.8750 0.8713 0.7500
Pt 0.7500 0.2500 0.5000
Pt 0.0000 0.0000 0.0000

As for the space-group type: No. 122. For the distance to the lowest polymorph of the same formula, the calculation gives 0.0000 eV per atom. The raw total energy is -5.89 eV per atom. The crystal system is tetragonal. The calculation puts the volume at 75 Å³ per cell.


Entry 10:
Entry from the Alexandria database: an optimized crystal structure of LaTbBi2 (PBE-GGA).

Unit cell a=4.5651 b=4.5651 c=8.2544 alpha=73.95 beta=73.95 gamma=60.00
Fractional positions:
Bi 0.0855 0.0855 0.7434
Bi 0.2476 0.2476 0.2572
La 0.6688 0.6688 0.9936
Tb 0.4980 0.4980 0.5059

As for the space-group type: No. 160. For the distance to the lowest polymorph of the same formula, the calculation gives 0.1187 eV per atom. The raw total energy is -5.18 eV per atom. The crystal system is trigonal. The calculation puts the volume at 141 Å³ per cell.


Entry 11:
Entry from the Alexandria database: an optimized crystal structure of Nd3Sm2Tm4 (PBE-GGA).

Unit cell a=6.1426 b=11.2343 c=11.2343 alpha=62.87 beta=63.04 gamma=63.04
Fractional positions:
Nd 0.7500 0.3662 0.6338
Nd 0.7348 0.6925 0.9821
Nd 0.2652 0.3075 0.0179
Nd 0.2500 0.6338 0.3662
Nd 0.2348 0.9821 0.6925
Nd 0.7652 0.0179 0.3075
Tm 0.0758 0.8272 0.0568
Tm 0.5758 0.0568 0.8272
Tm 0.4242 0.9432 0.1728
Tm 0.4013 0.6153 0.8468
Tm 0.0987 0.1532 0.3847
Tm 0.9242 0.1728 0.9432
Tm 0.9013 0.8468 0.6153
Tm 0.5987 0.3847 0.1532
Sm 0.4357 0.2623 0.5154
Sm 0.5643 0.7377 0.4846
Sm 0.9357 0.5154 0.2623
Sm 0.0643 0.4846 0.7377

As for the space-group type: No. 15. For the distance to the lowest polymorph of the same formula, the calculation gives 0.0782 eV per atom. The raw total energy is -4.53 eV per atom. The crystal system is monoclinic. The calculation puts the volume at 584 Å³ per cell.


Entry 12:
Entry from the Alexandria database: an optimized crystal structure of BaMgW2 (PBE-GGA).

Unit cell a=8.4396 b=8.4396 c=6.5401 alpha=49.82 beta=49.82 gamma=90.00
Fractional positions:
Ba 0.0000 0.0000 0.0000
Ba 0.7500 0.2500 0.5000
W 0.1686 0.6250 0.2500
W 0.3750 0.4186 0.7500
W 0.5814 0.1250 0.2500
W 0.8750 0.8314 0.7500
Mg 0.2500 0.7500 0.5000
Mg 0.5000 0.5000 0.0000

As for the space-group type: No. 122. The raw total energy is -5.49 eV per atom. The crystal system is tetragonal. The calculation puts the volume at 191 Å³ per cell.


Entry 13:
Entry from the Alexandria database: an optimized crystal structure of GaAsAu2 (PBE-GGA).

Unit cell a=4.7217 b=4.7217 c=4.7217 alpha=60.00 beta=60.00 gamma=60.00
Fractional positions:
As 0.5000 0.5000 0.5000
Au 0.2500 0.2500 0.2500
Au 0.7500 0.7500 0.7500
Ga 0.0000 0.0000 0.0000

As for the space-group type: No. 225. For the distance to the lowest polymorph of the same formula, the calculation gives 0.1178 eV per atom. The raw total energy is -3.45 eV per atom. The crystal system is cubic. The calculation puts the volume at 74 Å³ per cell.


Entry 14:
Entry from the Alexandria database: an optimized crystal structure of LiPa2Rh8 (PBE-GGA).

Unit cell a=4.7263 b=7.2455 c=7.2455 alpha=121.43 beta=103.75 gamma=103.75
Fractional positions:
Pa 0.0000 0.6942 0.3058
Pa 0.0000 0.3058 0.6942
Rh 0.5000 0.2055 0.7945
Rh 0.1516 0.3245 0.1010
Rh 0.8484 0.6755 0.8990
Rh 0.3109 0.5860 0.5860
Rh 0.1516 0.1010 0.3245
Rh 0.5000 0.7945 0.2055
Rh 0.6891 0.4140 0.4140
Rh 0.8484 0.8990 0.6755
Li 0.5000 0.0000 0.0000

As for the space-group type: No. 12. For the distance to the lowest polymorph of the same formula, the calculation gives 0.0506 eV per atom. The raw total energy is -7.65 eV per atom. The crystal system is monoclinic. The calculation puts the volume at 185 Å³ per cell.


Entry 15:
Entry from the Alexandria database: an optimized crystal structure of Sm2Dy3Sc2 (PBE-GGA).

Unit cell a=4.9493 b=6.0137 c=7.8097 alpha=97.65 beta=90.00 gamma=114.30
Fractional positions:
Dy 0.5000 0.0000 0.0000
Dy 0.6438 0.2876 0.4296
Dy 0.3562 0.7124 0.5704
Sc 0.7846 0.5691 0.8596
Sc 0.2154 0.4309 0.1404
Sm 0.9275 0.8550 0.2772
Sm 0.0725 0.1450 0.7228

As for the space-group type: No. 12. For the distance to the lowest polymorph of the same formula, the calculation gives 0.0102 eV per atom. The raw total energy is -5.08 eV per atom. The crystal system is monoclinic. The calculation puts the volume at 210 Å³ per cell.


Entry 16:
Entry from the Alexandria database: an optimized crystal structure of HfPaCSe (PBE-GGA).

Unit cell a=3.4800 b=3.4804 c=7.1098 alpha=90.00 beta=104.18 gamma=120.00
Fractional positions:
Hf 0.0999 0.9479 0.0632
C 0.3205 0.5582 0.8940
Se 0.9525 0.3743 0.3418
Pa 0.5049 0.1504 0.6707

As for the space-group type: No. 160. The raw total energy is -9.03 eV per atom. As for the energy relative to the elements, uncorrected: -0.99 eV per atom. The crystal system is trigonal. The calculation puts the volume at 72 Å³ per cell.


Entry 17:
Entry from the Alexandria database: an optimized crystal structure of NaN2Cl (PBE-GGA).

Unit cell a=6.1637 b=6.1637 c=6.1637 alpha=35.90 beta=35.90 gamma=35.90
Fractional positions:
Cl 0.0000 0.0000 0.0000
N 0.9082 0.9082 0.9082
N 0.0918 0.0918 0.0918
Na 0.5000 0.5000 0.5000

As for the space-group type: No. 166. For the distance to the lowest polymorph of the same formula, the calculation gives 2.2046 eV per atom. The raw total energy is -3.59 eV per atom. As for the energy relative to the elements, uncorrected: 1.37 eV per atom. The crystal system is trigonal. The calculation puts the volume at 72 Å³ per cell.


Entry 18:
Entry from the Alexandria database: an optimized crystal structure of LiNp2UTe4 (PBE-GGA).

Unit cell a=4.3266 b=7.6516 c=7.5062 alpha=108.92 beta=90.00 gamma=90.00
Fractional positions:
Te 0.0000 0.2587 0.7596
Te 0.0000 0.7413 0.2404
Te 0.5000 0.7440 0.7551
Te 0.5000 0.2560 0.2449
Np 0.0000 0.5000 0.5000
Np 0.5000 0.0000 0.5000
Li 0.5000 0.5000 0.0000
U 0.0000 0.0000 0.0000

As for the space-group type: No. 10. The raw total energy is -7.11 eV per atom. As for the energy relative to the elements, uncorrected: -0.66 eV per atom. The crystal system is monoclinic. The calculation puts the volume at 235 Å³ per cell.


Entry 19:
Entry from the Alexandria database: an optimized crystal structure of Tb2Ho3ErS6 (PBE-GGA).

Unit cell a=3.8861 b=7.8183 c=8.6989 alpha=103.10 beta=102.91 gamma=90.00
Fractional positions:
Tb 0.8328 0.6655 0.6657
Tb 0.1672 0.3345 0.3343
Ho 0.1677 0.8328 0.3353
Ho 0.8323 0.1672 0.6647
Ho 0.5000 0.5000 0.0000
S 0.3345 0.4143 0.6689
S 0.6655 0.5857 0.3311
S 0.0012 0.7522 0.0024
S 0.6657 0.0799 0.3314
S 0.3343 0.9201 0.6686
S 0.9988 0.2478 0.9976
Er 0.5000 0.0000 0.0000

As for the space-group type: No. 12. The raw total energy is -6.34 eV per atom. As for the energy relative to the elements, uncorrected: -1.98 eV per atom. The crystal system is monoclinic. The calculation puts the volume at 251 Å³ per cell.


Entry 20:
Entry from the Alexandria database: an optimized crystal structure of AlCdPt2 (PBE-GGA).

Unit cell a=8.8661 b=8.8661 c=8.8661 alpha=19.26 beta=19.26 gamma=19.26
Fractional positions:
Al 0.2500 0.2500 0.2500
Pt 0.5105 0.5105 0.5105
Pt 0.9895 0.9895 0.9895
Cd 0.7500 0.7500 0.7500

As for the space-group type: No. 166. The raw total energy is -4.76 eV per atom. The crystal system is trigonal. The calculation puts the volume at 66 Å³ per cell.